(1)
{
  "formula": "Nd5PuTl3",
  "functional": "PBE",
  "state": "optimized geometry",
  "total_energy_ev_per_cell": -94.8,
  "sg": "P6_3/mcm, No. 193",
  "total_magnetization_mub_per_cell": 12.73,
  "lattice": [[-2.894, -0.853, -6.108], [-6.381, -6.105, 3.876], [-1.970, 9.433, -0.384]],
  "species": ["Nd", "Tl", "Nd", "Nd", "Nd", "Tl", "Pu", "Tl", "Tl", "Tl", "Nd", "Nd", "Nd", "Nd", "Pu", "Nd", "Nd", "Tl"],
  "frac_coords": [[0.500, 0.333, 0.667], [0.250, 0.000, 0.347], [0.750, 0.000, 0.315], [0.250, 0.000, 0.685], [0.500, 0.667, 0.333], [0.750, 0.653, 0.000], [0.500, 0.000, 0.000], [0.750, 0.347, 0.347], [0.750, 0.000, 0.653], [0.250, 0.347, 0.000], [0.250, 0.685, 0.000], [0.750, 0.685, 0.685], [0.250, 0.315, 0.315], [0.000, 0.333, 0.667], [0.000, 0.000, 0.000], [0.000, 0.667, 0.333], [0.750, 0.315, 0.000], [0.250, 0.653, 0.653]]
}

=====

(2)
{
  "formula": "Nd2PuTl9",
  "functional": "PBE",
  "state": "optimized geometry",
  "total_energy_ev_per_cell": -47.8,
  "sg": "P4/mmm, No. 123",
  "total_magnetization_mub_per_cell": 5.64,
  "lattice": [[-3.422, -3.179, -1.158], [1.383, 0.189, -4.605], [9.294, -10.858, 2.346]],
  "species": ["Tl", "Tl", "Pu", "Tl", "Nd", "Tl", "Tl", "Tl", "Tl", "Tl", "Tl", "Nd"],
  "frac_coords": [[0.000, 0.500, 0.500], [0.500, 0.000, 0.835], [0.000, 0.000, 0.000], [0.500, 0.500, 0.332], [0.000, 0.000, 0.334], [0.500, 0.500, 0.668], [0.000, 0.500, 0.165], [0.500, 0.000, 0.165], [0.500, 0.000, 0.500], [0.500, 0.500, 0.000], [0.000, 0.500, 0.835], [0.000, 0.000, 0.666]]
}

=====

(3)
{
  "formula": "NdPuTl6",
  "functional": "PBE",
  "state": "optimized geometry",
  "total_energy_ev_per_cell": -34.7,
  "sg": "P4/mmm, No. 123",
  "total_magnetization_mub_per_cell": 5.63,
  "lattice": [[-2.322, -3.507, 2.312], [-1.797, -1.558, -4.169], [7.639, -5.800, -1.125]],
  "species": ["Nd", "Tl", "Tl", "Tl", "Tl", "Tl", "Tl", "Pu"],
  "frac_coords": [[0.000, 0.000, 0.500], [0.000, 0.500, 0.247], [0.500, 0.000, 0.247], [0.500, 0.500, 0.000], [0.500, 0.500, 0.500], [0.000, 0.500, 0.753], [0.500, 0.000, 0.753], [0.000, 0.000, 0.000]]
}

=====

(4)
{
  "formula": "Nd3PuTl4",
  "functional": "PBE",
  "state": "optimized geometry",
  "total_energy_ev_per_cell": -40.3,
  "sg": "P4/mmm, No. 123",
  "total_magnetization_mub_per_cell": 5.81,
  "lattice": [[-2.609, 0.136, -2.528], [-2.289, -1.675, 2.273], [-5.244, 15.646, 6.251]],
  "species": ["Nd", "Tl", "Nd", "Tl", "Tl", "Nd", "Tl", "Pu"],
  "frac_coords": [[0.500, 0.500, 0.500], [0.000, 0.000, 0.375], [0.500, 0.500, 0.750], [0.000, 0.000, 0.124], [0.000, 0.000, 0.625], [0.500, 0.500, 0.250], [0.000, 0.000, 0.876], [0.500, 0.500, 0.000]]
}